Entry 1:
## Y3IrRh (GGA-PBE)

Data for Y3IrRh after structural relaxation.

Lattice parameters (Å, degrees): 5.275 5.275 5.275 90.00 90.00 90.00
Space group Pm-3m (No. 221)
Inequivalent atoms, fractional coordinates:
Y  0.000  0.000  0.500 (multiplicity 3)
Ir  0.000  0.000  0.000 (multiplicity 1)
Rh  0.500  0.500  0.500 (multiplicity 1)

Summary:
- Raw total energy: -7.20 eV/atom
- ΔE_f: -0.08 eV per atom
- Offset from the most stable computed form: 606 meV/atom
- Fermi-level density of states: 3.60 states/eV/f.u.
- Magnetic moment: 0.00 Bohr magnetons per cell
- Mass density: 6.356 g/cm3



Entry 2:
## NdSm6Ag (GGA-PBE)

Data for NdSm6Ag after structural relaxation.

Lattice parameters (Å, degrees): 6.412 6.413 6.416 96.00 95.84 95.91
Space group P-1 (No. 2)
Inequivalent atoms, fractional coordinates:
Nd  0.000  0.000  0.000 (multiplicity 1)
Sm  0.071  0.263  0.547 (multiplicity 2)
Sm  0.263  0.547  0.071 (multiplicity 2)
Sm  0.453  0.929  0.737 (multiplicity 2)
Ag  0.500  0.500  0.500 (multiplicity 1)

Summary:
- Raw total energy: -4.45 eV/atom
- ΔE_f: 0.04 eV per atom
- Fermi-level density of states: 9.94 states/eV/f.u.
- Magnetic moment: 0.00 Bohr magnetons per cell
- Mass density: 7.392 g/cm3



Entry 3:
## CeErTm (GGA-PBE)

Data for CeErTm after structural relaxation.

Lattice parameters (Å, degrees): 7.345 7.345 7.345 90.00 90.00 90.00
Space group P2_13 (No. 198)
Inequivalent atoms, fractional coordinates:
Ce  0.120  0.120  0.120 (multiplicity 4)
Er  0.030  0.970  0.470 (multiplicity 4)
Tm  0.169  0.331  0.669 (multiplicity 4)

Summary:
- Raw total energy: -4.24 eV/atom
- ΔE_f: 0.75 eV per atom
- Offset from the most stable computed form: 686 meV/atom
- Fermi-level density of states: 6.82 states/eV/f.u.
- Magnetic moment: 5.26 Bohr magnetons per cell
- Mass density: 7.985 g/cm3



Entry 4:
## ZrBSe2N (GGA-PBE)

Data for ZrBSe2N after structural relaxation.

Lattice parameters (Å, degrees): 5.301 5.301 4.167 90.00 90.00 90.00
Space group P4/mmm (No. 123)
Inequivalent atoms, fractional coordinates:
Zr  0.000  0.000  0.000 (multiplicity 1)
B  0.500  0.500  0.500 (multiplicity 1)
Se  0.000  0.500  0.000 (multiplicity 2)
N  0.000  0.000  0.500 (multiplicity 1)

Summary:
- Raw total energy: -5.27 eV/atom
- Offset from the most stable computed form: 955 meV/atom
- Formation energy without anion corrections: 831 meV per atom
- Fermi-level density of states: 2.32 states/eV/f.u.
- Magnetic moment: 1.65 Bohr magnetons per cell
- Mass density: 3.885 g/cm3